No. 1
Na2Tl2Pb | GGA-PBE | relaxed

## Properties
- total DFT energy (no corrections) (eV per atom) = -2.243
- mass density (g cm⁻³) = 7.59
- E_form (eV/atom) = -0.028

Cell: 8.773 8.773 3.765 Å, 90.00 90.00 90.00°
Element x y z (fractional)
Na 0.135 0.365 0.000
Na 0.365 0.865 0.000
Na 0.635 0.135 0.000
Na 0.865 0.635 0.000
Tl 0.164 0.664 0.500
Tl 0.336 0.164 0.500
Tl 0.664 0.836 0.500
Tl 0.836 0.336 0.500
Pb 0.000 0.000 0.000
Pb 0.500 0.500 0.000



No. 2
NaTl8Pb2 | GGA-PBE | relaxed

## Properties
- total DFT energy (no corrections) (eV per atom) = -2.544
- mass density (g cm⁻³) = 10.31
- E_form (eV/atom) = -0.029

Cell: 9.444 9.444 7.953 Å, 105.44 105.44 29.30°
Element x y z (fractional)
Na 0.000 0.000 0.000
Tl 0.091 0.091 0.451
Tl 0.183 0.183 0.910
Tl 0.366 0.366 0.816
Tl 0.451 0.451 0.276
Tl 0.549 0.549 0.724
Tl 0.634 0.634 0.184
Tl 0.817 0.817 0.090
Tl 0.909 0.909 0.549
Pb 0.273 0.273 0.368
Pb 0.727 0.727 0.632



No. 3
Na2TlPb2 | GGA-PBE | relaxed

## Properties
- total DFT energy (no corrections) (eV per atom) = -2.599
- mass density (g cm⁻³) = 7.50
- E_form (eV/atom) = -0.115

Cell: 6.258 6.258 9.982 Å, 100.38 100.38 50.19°
Element x y z (fractional)
Na 0.052 0.052 0.352
Na 0.153 0.153 0.052
Na 0.847 0.847 0.948
Na 0.948 0.948 0.648
Tl 0.243 0.243 0.757
Tl 0.757 0.757 0.243
Pb 0.353 0.353 0.444
Pb 0.459 0.459 0.150
Pb 0.541 0.541 0.850
Pb 0.647 0.647 0.556